Record 1
Below is a relaxed Ba6Ag2N crystal, with properties calculated at the PBE level.

Calculated values
total DFT energy (no corrections)	-3.080	eV per atom
raw formation energy	-239	meV/atom
energy above the most stable polymorph in this dataset	0	meV/atom

The structure in CIF format:
```
data_Ba6Ag2N
_chemical_formula_sum 'Ba12 Ag4 N2'
_space_group_name_H-M_alt 'P 1'
_space_group_IT_number 1
_cell_length_a 7.792
_cell_length_b 8.693
_cell_length_c 11.206
_cell_angle_alpha 90.00
_cell_angle_beta 91.08
_cell_angle_gamma 90.00
loop_
_space_group_symop_operation_xyz
'x,y,z'
loop_
_atom_site_label
_atom_site_type_symbol
_atom_site_fract_x
_atom_site_fract_y
_atom_site_fract_z
Ba1 Ba 0.201 0.338 0.056
Ba2 Ba 0.385 0.528 0.767
Ba3 Ba 0.115 0.028 0.733
Ba4 Ba 0.799 0.662 0.944
Ba5 Ba 0.885 0.972 0.267
Ag1 Ag 0.044 0.603 0.251
Ba6 Ba 0.299 0.838 0.444
Ag2 Ag 0.456 0.103 0.249
Ba7 Ba 0.847 0.710 0.555
Ba8 Ba 0.653 0.210 0.945
Ba9 Ba 0.701 0.162 0.556
Ag3 Ag 0.956 0.397 0.749
Ba10 Ba 0.347 0.790 0.055
Ba11 Ba 0.615 0.472 0.233
N1 N 0.500 0.500 0.000
Ag4 Ag 0.544 0.897 0.751
N2 N 0.000 0.000 0.500
Ba12 Ba 0.153 0.290 0.445
```

---

Record 2
Below is a relaxed Ba6AgN crystal, with properties calculated at the PBE level.

Calculated values
total DFT energy (no corrections)	-2.989	eV per atom
raw formation energy	-150	meV/atom

The structure in CIF format:
```
data_Ba6AgN
_chemical_formula_sum 'Ba6 Ag1 N1'
_space_group_name_H-M_alt 'P 1'
_space_group_IT_number 1
_cell_length_a 7.700
_cell_length_b 7.697
_cell_length_c 8.628
_cell_angle_alpha 63.49
_cell_angle_beta 63.53
_cell_angle_gamma 60.02
loop_
_space_group_symop_operation_xyz
'x,y,z'
loop_
_atom_site_label
_atom_site_type_symbol
_atom_site_fract_x
_atom_site_fract_y
_atom_site_fract_z
Ba1 Ba 0.929 0.625 0.226
Ba2 Ba 0.625 0.220 0.226
Ba3 Ba 0.780 0.071 0.774
Ag1 Ag 0.500 0.500 0.500
Ba4 Ba 0.071 0.375 0.774
Ba5 Ba 0.220 0.929 0.226
N1 N 0.000 0.000 0.000
Ba6 Ba 0.375 0.780 0.774
```

---

Record 3
Below is a relaxed Ba6AgN3 crystal, with properties calculated at the PBE level.

Calculated values
total DFT energy (no corrections)	-4.277	eV per atom
raw formation energy	-341	meV/atom

The structure in CIF format:
```
data_Ba6AgN3
_chemical_formula_sum 'Ba12 Ag2 N6'
_space_group_name_H-M_alt 'P 1'
_space_group_IT_number 1
_cell_length_a 4.001
_cell_length_b 16.000
_cell_length_c 12.235
_cell_angle_alpha 118.64
_cell_angle_beta 90.00
_cell_angle_gamma 90.00
loop_
_space_group_symop_operation_xyz
'x,y,z'
loop_
_atom_site_label
_atom_site_type_symbol
_atom_site_fract_x
_atom_site_fract_y
_atom_site_fract_z
Ag1 Ag 0.250 0.911 0.290
N1 N 0.750 0.742 0.480
Ba1 Ba 0.250 0.557 0.917
Ba2 Ba 0.750 0.443 0.083
N2 N 0.750 0.111 0.126
Ba3 Ba 0.750 0.390 0.586
Ba4 Ba 0.750 0.712 0.239
Ba5 Ba 0.750 0.119 0.448
Ag2 Ag 0.750 0.089 0.710
Ba6 Ba 0.250 0.610 0.414
N3 N 0.750 0.427 0.839
N4 N 0.250 0.889 0.874
Ba7 Ba 0.750 0.930 0.061
N5 N 0.250 0.573 0.161
Ba8 Ba 0.750 0.778 0.744
Ba9 Ba 0.250 0.070 0.939
Ba10 Ba 0.250 0.288 0.761
N6 N 0.250 0.258 0.520
Ba11 Ba 0.250 0.881 0.552
Ba12 Ba 0.250 0.222 0.256
```

---

Record 4
Below is a relaxed Ba8AgN4 crystal, with properties calculated at the PBE level.

Calculated values
total DFT energy (no corrections)	-4.220	eV per atom
raw formation energy	-256	meV/atom

The structure in CIF format:
```
data_Ba8AgN4
_chemical_formula_sum 'Ba8 Ag1 N4'
_space_group_name_H-M_alt 'P 1'
_space_group_IT_number 1
_cell_length_a 8.607
_cell_length_b 8.607
_cell_length_c 8.607
_cell_angle_alpha 60.00
_cell_angle_beta 60.00
_cell_angle_gamma 60.00
loop_
_space_group_symop_operation_xyz
'x,y,z'
loop_
_atom_site_label
_atom_site_type_symbol
_atom_site_fract_x
_atom_site_fract_y
_atom_site_fract_z
Ba1 Ba 0.580 0.140 0.140
Ba2 Ba 0.604 0.604 0.188
Ba3 Ba 0.604 0.604 0.604
Ba4 Ba 0.188 0.604 0.604
N1 N 0.370 0.889 0.370
Ba5 Ba 0.604 0.188 0.604
N2 N 0.370 0.370 0.889
Ba6 Ba 0.140 0.580 0.140
Ba7 Ba 0.140 0.140 0.140
Ag1 Ag 0.750 0.750 0.750
N3 N 0.370 0.370 0.370
Ba8 Ba 0.140 0.140 0.580
N4 N 0.889 0.370 0.370
```

---

Record 5
Below is a relaxed Ba2AgN crystal, with properties calculated at the PBE level.

Calculated values
total DFT energy (no corrections)	-3.960	eV per atom
raw formation energy	-204	meV/atom

The structure in CIF format:
```
data_Ba2AgN
_chemical_formula_sum 'Ba4 Ag2 N2'
_space_group_name_H-M_alt 'P 1'
_space_group_IT_number 1
_cell_length_a 7.853
_cell_length_b 7.853
_cell_length_c 7.167
_cell_angle_alpha 56.78
_cell_angle_beta 56.78
_cell_angle_gamma 90.00
loop_
_space_group_symop_operation_xyz
'x,y,z'
loop_
_atom_site_label
_atom_site_type_symbol
_atom_site_fract_x
_atom_site_fract_y
_atom_site_fract_z
Ba1 Ba 0.214 0.625 0.250
Ba2 Ba 0.536 0.125 0.250
Ba3 Ba 0.875 0.786 0.750
N1 N 0.500 0.500 0.000
Ba4 Ba 0.375 0.464 0.750
Ag1 Ag 0.000 0.000 0.000
Ag2 Ag 0.750 0.250 0.500
N2 N 0.250 0.750 0.500
```

---

Record 6
Below is a relaxed Ba12Ag5N2 crystal, with properties calculated at the PBE level.

Calculated values
total DFT energy (no corrections)	-3.051	eV per atom
raw formation energy	-210	meV/atom

The structure in CIF format:
```
data_Ba12Ag5N2
_chemical_formula_sum 'Ba12 Ag5 N2'
_space_group_name_H-M_alt 'P 1'
_space_group_IT_number 1
_cell_length_a 8.650
_cell_length_b 10.150
_cell_length_c 10.680
_cell_angle_alpha 105.41
_cell_angle_beta 90.00
_cell_angle_gamma 115.22
loop_
_space_group_symop_operation_xyz
'x,y,z'
loop_
_atom_site_label
_atom_site_type_symbol
_atom_site_fract_x
_atom_site_fract_y
_atom_site_fract_z
Ba1 Ba 0.401 0.302 0.573
N1 N 0.763 0.000 0.000
Ag1 Ag 0.310 0.621 0.160
Ag2 Ag 0.690 0.379 0.840
Ba2 Ba 0.001 0.002 0.821
Ba3 Ba 0.099 0.698 0.427
Ba4 Ba 0.901 0.311 0.078
Ba5 Ba 0.599 0.698 0.427
Ba6 Ba 0.500 0.000 0.814
Ba7 Ba 0.999 0.998 0.179
Ba8 Ba 0.590 0.689 0.922
Ag3 Ag 0.308 0.615 0.651
Ba9 Ba 0.500 0.000 0.186
Ba10 Ba 0.901 0.302 0.573
Ag4 Ag 0.692 0.385 0.349
N2 N 0.237 0.000 0.000
Ba11 Ba 0.099 0.689 0.922
Ag5 Ag 0.000 0.000 0.500
Ba12 Ba 0.410 0.311 0.078
```